(1)
VASP calculation (GGA-PBE) on a relaxed GaHgBr6 crystal.

Output
The space group is C2/m (12). The value obtained for the formation energy without anion corrections is -40 kJ/mol of atoms. The calculation puts the size of the total moment at 1.0 μB/f.u.

Unit cell a=7.148 b=7.148 c=7.182 alpha=101.11 beta=101.11 gamma=123.45
Sites, in units of the cell vectors:
Br  0.564  0.853  0.752
Br  0.853  0.564  0.752
Br  0.436  0.147  0.248
Br  0.786  0.786  0.336
Br  0.147  0.436  0.248
Br  0.214  0.214  0.664
Hg  0.000  0.000  0.000
Ga  0.500  0.500  0.500

***

(2)
VASP calculation (GGA-PBE) on a relaxed Ga2Hg2Br7 crystal.

Output
The space group is Cm (8). The density of states at the Fermi level is 0.2740 states/eV/atom. The value obtained for the formation energy without anion corrections is -59 kJ/mol of atoms. The calculation puts the size of the total moment at 0.0 μB/f.u.

Unit cell a=10.834 b=7.693 c=7.409 alpha=89.89 beta=90.00 gamma=134.76
Sites, in units of the cell vectors:
Hg  0.636  0.008  0.383
Hg  0.372  0.008  0.383
Br  0.370  0.739  0.918
Br  0.077  0.155  0.190
Br  0.771  0.543  0.896
Br  0.974  0.591  0.351
Br  0.268  0.170  0.742
Br  0.617  0.591  0.351
Br  0.902  0.170  0.742
Ga  0.853  0.705  0.180
Ga  0.160  0.319  0.862

***

(3)
VASP calculation (GGA-PBE) on a relaxed GaHgBr4 crystal.

Output
The space group is P2_1/c (14). The density of states at the Fermi level is 0.7297 states/eV/atom. The value obtained for the formation energy without anion corrections is -43 kJ/mol of atoms. The calculation puts the size of the total moment at 0.0 μB/f.u.

Unit cell a=4.012 b=7.106 c=13.636 alpha=88.02 beta=90.00 gamma=90.00
Sites, in units of the cell vectors:
Br  0.504  0.176  0.383
Br  0.004  0.324  0.117
Br  0.000  0.336  0.617
Br  0.500  0.836  0.117
Br  0.000  0.664  0.383
Br  0.996  0.676  0.883
Br  0.500  0.164  0.883
Br  0.496  0.824  0.617
Hg  0.000  0.000  0.500
Hg  0.500  0.500  0.000
Ga  0.500  0.500  0.500
Ga  0.000  0.000  0.000